Entry 1:
Crystalline Ce2ErTh at its relaxed geometry. Source: Alexandria via LeMat-Bulk, functional PBE.

The structure in POSCAR format:
```
Ce2ErTh
1.0
3.482 0.000 0.000
0.000 3.482 0.000
0.000 0.000 9.821
Ce Er Th
2 1 1
Direct
0.000 0.000 0.244
0.000 0.000 0.756
0.500 0.500 0.500
0.500 0.500 0.000
```

Results
calculated volume	29.76	A^3/atom
DFT total energy	-5.903	eV/atom
ΔH_f (0 K)	0.06	eV/atom
M_tot	0.0	μB per formula unit

---

Entry 2:
Crystalline Zr5Zn2Pd12 at its relaxed geometry. Source: Alexandria via LeMat-Bulk, functional PBE.

The structure in POSCAR format:
```
Zr5Zn2Pd12
1.0
7.117 -3.391 0.000
7.117 3.391 0.000
-2.088 0.000 6.858
Zr Zn Pd
5 2 12
Direct
0.000 0.000 0.000
0.255 0.255 0.739
0.306 0.306 0.278
0.694 0.694 0.722
0.745 0.745 0.261
0.317 0.683 0.500
0.683 0.317 0.500
0.052 0.648 0.610
0.060 0.060 0.677
0.077 0.616 0.008
0.352 0.948 0.390
0.384 0.923 0.992
0.487 0.487 0.809
0.513 0.513 0.191
0.616 0.077 0.008
0.648 0.052 0.610
0.923 0.384 0.992
0.940 0.940 0.323
0.948 0.352 0.390
```

Results
calculated volume	17.42	A^3/atom
DFT total energy	-6.204	eV/atom
ΔH_f (0 K)	-0.54	eV/atom
M_tot	0.0	μB per formula unit

---

> Look up the calculated volume of the second one.

17.42 A^3/atom